# Fe2SiRh

Crystalline Fe2SiRh at its relaxed geometry (GGA-PBEsol, Alexandria).

abc: 2.6592 2.6592 6.2296
angles: 90.00 90.00 90.00
With the nearest neighbours (Å) after each atom.
Element x y z (fractional)
1 Si 0.5000 0.5000 0.5000  8 Fe 2.32
2 Rh 0.5000 0.5000 0.0000  8 Fe 2.57, 4 Rh 2.66
3 Fe 0.0000 0.0000 0.7190  4 Si 2.32, 4 Rh 2.57
4 Fe 0.0000 0.0000 0.2810  4 Si 2.32, 4 Rh 2.57

Calculated values
The electronic total energy comes out at -8.21 eV/atom. For the raw formation energy, the calculation gives -0.26 eV per atom.

---

# FeSi2Rh

Crystalline FeSi2Rh at its relaxed geometry (GGA-PBEsol, Alexandria).

abc: 3.8966 4.1116 3.8966
angles: 61.72 90.00 118.28
With the nearest neighbours (Å) after each atom.
Element x y z (fractional)
1 Rh 0.0000 0.0000 0.0000  8 Si 2.47, 4 Fe 2.76
2 Si 0.7500 0.5000 0.7500  4 Rh 2.47, 4 Fe 2.47, 4 Si 2.76
3 Si 0.2500 0.5000 0.2500  4 Rh 2.47, 4 Fe 2.47, 4 Si 2.76
4 Fe 0.5000 0.0000 0.5000  8 Si 2.47, 4 Rh 2.76

Calculated values
The electronic total energy comes out at -7.70 eV/atom. For the raw formation energy, the calculation gives -0.55 eV per atom.

---

# Fe2SiRh

Crystalline Fe2SiRh at its relaxed geometry (GGA-PBEsol, Alexandria).

abc: 2.5841 2.5841 7.9330
angles: 80.63 80.63 60.00
With the nearest neighbours (Å) after each atom.
Element x y z (fractional)
1 Rh 0.5000 0.5000 0.5000  6 Fe 2.55, 6 Rh 2.58
2 Fe 0.7449 0.7449 0.7654  3 Si 2.36, 3 Rh 2.55, 6 Fe 2.58
3 Fe 0.2551 0.2551 0.2346  3 Si 2.36, 3 Rh 2.55, 6 Fe 2.58
4 Si 0.0000 0.0000 0.0000  6 Fe 2.36, 6 Si 2.58

Calculated values
The electronic total energy comes out at -8.07 eV/atom. For the raw formation energy, the calculation gives -0.12 eV per atom.